(1)
Entry from OQMD via LeMat-Bulk: Y2IrAu after structural relaxation (PBE).

a b c (Å): 4.862 4.862 4.862
angles (deg): 60.00 60.00 60.00
Positions (direct):
1 Y 0.000 0.000 0.000
2 Y 0.250 0.250 0.250
3 Ir 0.750 0.750 0.750
4 Au 0.500 0.500 0.500

The calculation puts the density at 11.583 g/cm³. Its symmetry is No. 216. As for the raw total energy: -0.245 Ha/atom. As for the energy of formation from the pure elements: -0.40 eV per atom. The calculation puts the total moment at 0.00 μB per formula unit.

(2)
Entry from OQMD via LeMat-Bulk: NaIrPt after structural relaxation (PBE).

a b c (Å): 4.337 4.337 4.337
angles (deg): 60.00 60.00 60.00
Positions (direct):
1 Na 0.000 0.000 0.000
2 Ir 0.500 0.500 0.500
3 Pt 0.750 0.750 0.750

The calculation puts the excess energy over the best structure of this formula in the dataset at 0 meV/atom. The calculation puts the density at 11.808 g/cm³. Its symmetry is No. 216. As for the raw total energy: -0.174 Ha/atom. The calculation puts the total moment at 1.50 μB per formula unit.